{"formula": "Zn2CoF", "functional": "PBE+U", "state": "optimized geometry", "polymorph_energy_mev_per_atom": 0.0, "spacegroup": "I-42d, No. 122", "final_energy_ev_per_atom": -2.725, "volume_a3_per_cell": 112.9, "dos_at_fermi_per_ev_atom": 0.142, "total_magnetization_mub_per_atom": 0.503, "lattice": [[-3.190, -2.432, -5.239], [5.771, -1.604, -2.769], [1.191, -4.345, -2.863]], "species": ["Zn", "Zn", "Zn", "Zn", "Co", "Co", "F", "F"], "frac_coords": [[0.593, 0.125, 0.250], [0.157, 0.625, 0.250], [0.375, 0.407, 0.750], [0.875, 0.843, 0.750], [0.000, 0.000, 0.000], [0.750, 0.250, 0.500], [0.500, 0.500, 0.000], [0.250, 0.750, 0.500]]}